# 1
A plane-wave DFT calculation with PBE was carried out for a geometry-optimized ZnCoSn structure.

## Properties
- SG = No. 40
- magnetization (μB per cell) = 0.00
- energy of formation (meV/atom) = -45

The structure in POSCAR format:
```
ZnCoSn
1.0
4.204 0.000 0.000
0.000 8.266 0.000
0.000 0.000 5.967
Co Zn Sn
4 4 4
Direct
0.750 0.391 0.541 Co
0.250 0.109 0.041 Co
0.750 0.891 0.041 Co
0.250 0.609 0.541 Co
0.750 0.117 0.309 Zn
0.250 0.383 0.809 Zn
0.750 0.617 0.809 Zn
0.250 0.883 0.309 Zn
0.250 0.846 0.801 Sn
0.750 0.154 0.801 Sn
0.750 0.654 0.301 Sn
0.250 0.346 0.301 Sn
```

=====

# 2
A plane-wave DFT calculation with PBE was carried out for a geometry-optimized ZnCoSn structure.

## Properties
- SG = No. 74
- magnetization (μB per cell) = 0.00
- energy of formation (meV/atom) = -34

The structure in POSCAR format:
```
ZnCoSn
1.0
5.543 0.000 0.000
0.000 6.241 0.000
0.000 0.000 6.036
Zn Co Sn
4 4 4
Direct
0.500 0.000 0.500 Zn
0.000 0.500 0.000 Zn
0.500 0.500 0.500 Zn
0.000 0.000 0.000 Zn
0.750 0.250 0.750 Co
0.750 0.750 0.250 Co
0.250 0.750 0.250 Co
0.250 0.250 0.750 Co
0.500 0.000 0.000 Sn
0.000 0.000 0.500 Sn
0.000 0.500 0.500 Sn
0.500 0.500 0.000 Sn
```

=====

# 3
A plane-wave DFT calculation with PBE was carried out for a geometry-optimized ZnCoSn3 structure.

## Properties
- polymorph energy (0 for the lowest one) (kJ per mole of atoms) = 74.5
- SG = No. 221
- magnetization (μB per cell) = 1.75
- energy of formation (meV/atom) = 945

The structure in POSCAR format:
```
ZnCoSn3
1.0
-3.769 -1.494 -3.173
3.464 -0.859 -3.711
0.548 -4.851 1.634
Sn Zn Co
3 1 1
Direct
0.000 0.500 0.000 Sn
0.000 0.000 0.500 Sn
0.500 0.000 0.000 Sn
0.000 0.000 0.000 Zn
0.500 0.500 0.500 Co
```

=====

# 4
A plane-wave DFT calculation with PBE was carried out for a geometry-optimized ZnCoSn structure.

## Properties
- SG = No. 69
- magnetization (μB per cell) = 0.00
- energy of formation (meV/atom) = -22

The structure in POSCAR format:
```
ZnCoSn
1.0
8.538 0.000 0.000
0.000 8.715 0.000
0.000 0.000 5.387
Zn Co Sn
8 8 8
Direct
0.000 0.794 0.000 Zn
0.500 0.794 0.500 Zn
0.500 0.294 0.000 Zn
0.000 0.706 0.500 Zn
0.000 0.294 0.500 Zn
0.500 0.206 0.500 Zn
0.500 0.706 0.000 Zn
0.000 0.206 0.000 Zn
0.750 0.250 0.250 Co
0.250 0.750 0.750 Co
0.250 0.250 0.750 Co
0.250 0.250 0.250 Co
0.250 0.750 0.250 Co
0.750 0.750 0.750 Co
0.750 0.250 0.750 Co
0.750 0.750 0.250 Co
0.323 0.500 0.500 Sn
0.823 0.500 0.000 Sn
0.823 0.000 0.500 Sn
0.677 0.000 0.000 Sn
0.177 0.000 0.500 Sn
0.323 0.000 0.000 Sn
0.677 0.500 0.500 Sn
0.177 0.500 0.000 Sn
```

=====

# 5
A plane-wave DFT calculation with PBE was carried out for a geometry-optimized ZnCoSn structure.

## Properties
- SG = No. 47
- magnetization (μB per cell) = 0.17
- energy of formation (meV/atom) = 13

The structure in POSCAR format:
```
ZnCoSn
1.0
-2.432 -2.430 -2.421
3.453 -1.236 -2.228
0.386 -2.195 1.816
Co Zn Sn
1 1 1
Direct
0.000 0.500 0.000 Co
0.500 0.500 0.500 Zn
0.000 0.000 0.500 Sn
```

=====

# 6
A plane-wave DFT calculation with PBE was carried out for a geometry-optimized ZnCo2Sn2 structure.

## Properties
- polymorph energy (0 for the lowest one) (kJ per mole of atoms) = 18.5
- SG = No. 127
- magnetization (μB per cell) = 0.71
- energy of formation (meV/atom) = 214

The structure in POSCAR format:
```
ZnCo2Sn2
1.0
7.487 0.000 0.000
0.000 7.487 0.000
0.000 0.000 2.932
Sn Co Zn
4 4 2
Direct
0.844 0.656 0.000 Sn
0.344 0.844 0.000 Sn
0.656 0.156 0.000 Sn
0.156 0.344 0.000 Sn
0.139 0.639 0.500 Co
0.361 0.139 0.500 Co
0.861 0.361 0.500 Co
0.639 0.861 0.500 Co
0.500 0.500 0.000 Zn
0.000 0.000 0.000 Zn
```

=====

# 7
A plane-wave DFT calculation with PBE was carried out for a geometry-optimized ZnCo4Sn structure.

## Properties
- SG = No. 216
- magnetization (μB per cell) = 5.19
- energy of formation (meV/atom) = 144

The structure in POSCAR format:
```
ZnCo4Sn
1.0
4.822 0.000 0.000
2.411 4.176 0.000
2.411 1.392 3.937
Co Sn Zn
4 1 1
Direct
0.625 0.625 0.625 Co
0.625 0.124 0.625 Co
0.124 0.625 0.625 Co
0.625 0.625 0.124 Co
0.250 0.250 0.250 Sn
0.000 0.000 0.000 Zn
```

=====

# 8
A plane-wave DFT calculation with PBE was carried out for a geometry-optimized ZnCoSn structure.

## Properties
- SG = No. 63
- magnetization (μB per cell) = 0.00
- energy of formation (meV/atom) = -62

The structure in POSCAR format:
```
ZnCoSn
1.0
-2.694 -1.960 -2.076
6.604 -3.337 -5.420
0.535 -4.096 3.173
Zn Co Sn
4 4 4
Direct
0.000 0.500 0.000 Zn
0.500 0.000 0.500 Zn
0.500 0.000 0.000 Zn
0.000 0.500 0.500 Zn
0.500 0.414 0.250 Co
0.500 0.586 0.750 Co
0.000 0.914 0.250 Co
0.000 0.086 0.750 Co
0.500 0.295 0.750 Sn
0.500 0.705 0.250 Sn
0.000 0.205 0.250 Sn
0.000 0.795 0.750 Sn
```

=====

# 9
A plane-wave DFT calculation with PBE was carried out for a geometry-optimized ZnCoSn structure.

## Properties
- SG = No. 44
- magnetization (μB per cell) = 0.01
- energy of formation (meV/atom) = -14

The structure in POSCAR format:
```
ZnCoSn
1.0
-1.155 1.594 3.748
-3.086 -2.762 0.224
7.240 -7.645 5.482
Zn Co Sn
4 4 4
Direct
0.500 0.000 0.676 Zn
0.000 0.500 0.413 Zn
0.000 0.500 0.176 Zn
0.500 0.000 0.913 Zn
0.000 0.000 0.053 Co
0.000 0.000 0.285 Co
0.500 0.500 0.553 Co
0.500 0.500 0.785 Co
0.500 0.000 0.163 Sn
0.000 0.500 0.663 Sn
0.500 0.000 0.423 Sn
0.000 0.500 0.923 Sn
```

=====

# 10
A plane-wave DFT calculation with PBE was carried out for a geometry-optimized ZnCoSn structure.

## Properties
- SG = No. 51
- magnetization (μB per cell) = 0.19
- energy of formation (meV/atom) = 13

The structure in POSCAR format:
```
ZnCoSn
1.0
5.705 0.000 0.000
0.000 4.301 0.000
0.000 0.000 4.227
Zn Co Sn
2 2 2
Direct
0.250 0.000 0.511 Zn
0.750 0.000 0.489 Zn
0.500 0.000 0.000 Co
0.000 0.000 0.000 Co
0.750 0.500 0.952 Sn
0.250 0.500 0.048 Sn
```

=====

# 11
A plane-wave DFT calculation with PBE was carried out for a geometry-optimized Zr2CoSn2 structure.

## Properties
- SG = No. 127
- magnetization (μB per cell) = 0.00
- energy of formation (meV/atom) = -272

The structure in POSCAR format:
```
Zr2CoSn2
1.0
-2.892 -6.008 0.520
5.742 -2.567 2.273
-1.263 0.980 4.296
Zr Co Sn
4 2 4
Direct
0.836 0.336 0.500 Zr
0.164 0.664 0.500 Zr
0.664 0.836 0.500 Zr
0.336 0.164 0.500 Zr
0.000 0.000 0.000 Co
0.500 0.500 0.000 Co
0.650 0.150 0.000 Sn
0.850 0.650 0.000 Sn
0.150 0.350 0.000 Sn
0.350 0.850 0.000 Sn
```

=====

# 12
A plane-wave DFT calculation with PBE was carried out for a geometry-optimized ZrCoSn2 structure.

## Properties
- SG = No. 225
- magnetization (μB per cell) = 1.31
- energy of formation (meV/atom) = 110

The structure in POSCAR format:
```
ZrCoSn2
1.0
0.000 3.402 3.402
3.402 0.000 3.402
3.402 3.402 0.000
Zr Sn Co
1 2 1
Direct
0.500 0.500 0.500 Zr
0.750 0.750 0.750 Sn
0.250 0.250 0.250 Sn
0.000 0.000 0.000 Co
```